(1)
La2NiI: relaxed, PBE.

extended XYZ file:
```
16
Lattice="7.5913 0.0000 0.0000 0.0000 7.5913 0.0000 0.0000 0.0000 7.5913" Properties=species:S:1:pos:R:3 pbc="T T T"
La 1.8978 1.8978 1.8978
La 1.8978 1.8978 5.6935
La 1.8978 5.6935 1.8978
La 1.8978 5.6935 5.6935
La 5.6935 1.8978 1.8978
La 5.6935 1.8978 5.6935
La 5.6935 5.6935 1.8978
La 5.6935 5.6935 5.6935
Ni 0.0000 0.0000 0.0000
Ni 0.0000 3.7956 3.7956
Ni 3.7956 0.0000 3.7956
Ni 3.7956 3.7956 0.0000
I 0.0000 0.0000 3.7956
I 0.0000 3.7956 0.0000
I 3.7956 0.0000 0.0000
I 3.7956 3.7956 3.7956
```

**SG**: Fm-3m
**Raw formation energy**: -0.3255 eV/atom
**DOS(E_F)**: 1.25 states/eV per atom
**Calculated volume**: 27.34 Å³/atom



(2)
La2Ni2I: relaxed, PBE.

extended XYZ file:
```
10
Lattice="-3.7426 8.9711 2.0244 3.7426 -8.9711 2.0244 3.7426 8.9711 -2.0244" Properties=species:S:1:pos:R:3 pbc="T T T"
La 1.8713 10.7193 -1.0122
La 1.8713 1.7482 1.0122
La -1.8713 7.2230 1.0122
La 1.8713 7.2230 1.0122
Ni 3.7426 -0.6352 1.0087
Ni 3.7426 8.3359 -1.0087
Ni 0.0000 0.6352 3.0331
Ni 0.0000 9.6064 1.0157
I 3.7426 -4.4856 1.9963
I 0.0000 13.4567 0.0280
```

**SG**: Imma
**Raw formation energy**: -0.6150 eV/atom
**DOS(E_F)**: 0.54 states/eV per atom
**Calculated volume**: 27.19 Å³/atom



(3)
LaNi2I: relaxed, PBE.

extended XYZ file:
```
16
Lattice="6.8314 0.0000 0.0000 0.0000 6.8314 0.0000 0.0000 0.0000 6.8314" Properties=species:S:1:pos:R:3 pbc="T T T"
La 0.0000 0.0000 0.0000
La 0.0000 3.4157 3.4157
La 3.4157 0.0000 3.4157
La 3.4157 3.4157 0.0000
Ni 1.7079 1.7079 1.7079
Ni 1.7079 1.7079 5.1236
Ni 1.7079 5.1236 1.7079
Ni 1.7079 5.1236 5.1236
Ni 5.1236 1.7079 1.7079
Ni 5.1236 1.7079 5.1236
Ni 5.1236 5.1236 1.7079
Ni 5.1236 5.1236 5.1236
I 0.0000 0.0000 3.4157
I 0.0000 3.4157 0.0000
I 3.4157 0.0000 0.0000
I 3.4157 3.4157 3.4157
```

**SG**: Fm-3m
**Raw formation energy**: 0.0776 eV/atom
**DOS(E_F)**: 0.71 states/eV per atom
**Calculated volume**: 19.93 Å³/atom



(4)
La2Ni2I: relaxed, PBE.

extended XYZ file:
```
5
Lattice="4.1337 0.0000 0.0000 -2.0668 3.5799 0.0000 0.0000 0.0000 8.8722" Properties=species:S:1:pos:R:3 pbc="T T T"
La 0.0000 0.0000 1.8616
La 0.0000 0.0000 7.0106
Ni 0.0000 2.3866 0.0000
Ni 2.0668 1.1933 0.0000
I 2.0668 1.1933 4.4361
```

**SG**: P-6m2
**Raw formation energy**: -0.7294 eV/atom
**DOS(E_F)**: 1.13 states/eV per atom
**Calculated volume**: 26.26 Å³/atom



(5)
La2Ni2I: relaxed, PBE.

extended XYZ file:
```
10
Lattice="4.1359 0.0000 0.0000 -2.0679 3.5818 0.0000 0.0000 0.0000 17.7191" Properties=species:S:1:pos:R:3 pbc="T T T"
La 0.0000 0.0000 1.8572
La 0.0000 0.0000 7.0024
La 0.0000 0.0000 10.7167
La 0.0000 0.0000 15.8620
Ni 0.0000 2.3879 0.0065
Ni 0.0000 2.3879 8.8531
Ni 2.0679 1.1939 17.7126
Ni 2.0679 1.1939 8.8661
I 0.0000 2.3879 4.4298
I 2.0679 1.1939 13.2894
```

**SG**: P6_3/mmc
**Raw formation energy**: -0.7299 eV/atom
**DOS(E_F)**: 1.10 states/eV per atom
**Calculated volume**: 26.25 Å³/atom



(6)
LaNi3I: relaxed, PBE.

extended XYZ file:
```
5
Lattice="4.7375 0.0000 0.0000 0.0000 4.7375 0.0000 0.0000 0.0000 4.7375" Properties=species:S:1:pos:R:3 pbc="T T T"
La 0.0000 0.0000 0.0000
Ni 0.0000 2.3687 2.3687
Ni 2.3687 0.0000 2.3687
Ni 2.3687 2.3687 0.0000
I 2.3687 2.3687 2.3687
```

**SG**: Pm-3m
**Raw formation energy**: 0.4507 eV/atom
**DOS(E_F)**: 1.44 states/eV per atom
**Calculated volume**: 21.27 Å³/atom



(7)
La4NiI3: relaxed, PBE.

extended XYZ file:
```
16
Lattice="8.3234 0.0000 0.0000 0.0000 9.0130 0.0000 -2.2878 0.0000 7.1848" Properties=species:S:1:pos:R:3 pbc="T T T"
La 1.5511 0.9117 0.2250
La 0.4072 8.1013 3.8174
La 0.6346 3.3231 3.3226
La -0.5092 5.6899 6.9150
La 6.5449 3.3231 0.2698
La 5.4010 5.6899 3.8622
La 5.6284 0.9117 3.3674
La 4.4846 8.1013 6.9599
Ni -0.5719 1.0880 1.7962
Ni -1.7158 7.9251 5.3886
I -1.7158 3.1645 5.3886
I -0.5719 5.8485 1.7962
I 2.4459 1.2824 5.3886
I 3.5898 3.3968 1.7962
I 2.4459 5.6163 5.3886
I 3.5898 7.7307 1.7962
```

**SG**: P2/c
**Raw formation energy**: -0.8531 eV/atom
**DOS(E_F)**: 0.60 states/eV per atom
**Calculated volume**: 33.69 Å³/atom



(8)
LaNi3I: relaxed, PBE.

extended XYZ file:
```
5
Lattice="4.8667 0.0000 0.0000 0.0000 4.8667 0.0000 0.0000 0.0000 4.8667" Properties=species:S:1:pos:R:3 pbc="T T T"
La 0.0000 0.0000 0.0000
Ni 0.0000 0.0000 2.4334
Ni 0.0000 2.4334 0.0000
Ni 2.4334 0.0000 0.0000
I 2.4334 2.4334 2.4334
```

**SG**: Pm-3m
**Raw formation energy**: 1.1046 eV/atom
**DOS(E_F)**: 0.43 states/eV per atom
**Calculated volume**: 23.05 Å³/atom



Question: Which formula does entry 5 have?
Answer: La2Ni2I